This record from Alexandria describes LiNi2Sb after structural relaxation. The functional is PBE.

Values from the calculation:
As for the crystal system: tetragonal. As for the density of states at the Fermi level: 2.99 states/eV per cell. Its raw formation energy is -22 kJ per mole of atoms.

Cell and atoms, written as CIF:
```
data_LiNi2Sb
_chemical_formula_sum 'Li1 Ni2 Sb1'
_cell_length_a 3.900
_cell_length_b 3.900
_cell_length_c 3.570
_cell_angle_alpha 90.00
_cell_angle_beta 90.00
_cell_angle_gamma 90.00
_space_group_name_H-M_alt 'P 1'
_space_group_IT_number 1
loop_
_space_group_symop_operation_xyz
'x,y,z'
loop_
_atom_site_label
_atom_site_fract_x
_atom_site_fract_y
_atom_site_fract_z
_atom_site_occupancy
Li1 0.000 0.000 0.000 1
Ni1 0.000 0.500 0.500 1
Ni2 0.500 0.000 0.500 1
Sb1 0.500 0.500 0.000 1
```

=====

This record from Alexandria describes Y2HgRu after structural relaxation. The functional is PBE.

Values from the calculation:
As for the crystal system: cubic. As for the density of states at the Fermi level: 5.64 states/eV per cell. The value obtained for the formation energy is -0.0273 eV per atom.

Cell and atoms, written as CIF:
```
data_Y2HgRu
_chemical_formula_sum 'Y2 Hg1 Ru1'
_cell_length_a 4.953
_cell_length_b 4.953
_cell_length_c 4.953
_cell_angle_alpha 60.00
_cell_angle_beta 60.00
_cell_angle_gamma 60.00
_space_group_name_H-M_alt 'P 1'
_space_group_IT_number 1
loop_
_space_group_symop_operation_xyz
'x,y,z'
loop_
_atom_site_label
_atom_site_fract_x
_atom_site_fract_y
_atom_site_fract_z
_atom_site_occupancy
Y1 0.000 0.000 0.000 1
Y2 0.250 0.250 0.250 1
Hg1 0.500 0.500 0.500 1
Ru1 0.750 0.750 0.750 1
```

=====

This record from Alexandria describes Ca2TeW after structural relaxation. The functional is PBE.

Values from the calculation:
As for the crystal system: tetragonal. As for the density of states at the Fermi level: 4.25 states/eV per cell. Its raw formation energy is 20 kJ per mole of atoms.

Cell and atoms, written as CIF:
```
data_Ca2TeW
_chemical_formula_sum 'Ca2 Te1 W1'
_cell_length_a 3.548
_cell_length_b 3.548
_cell_length_c 8.767
_cell_angle_alpha 90.00
_cell_angle_beta 90.00
_cell_angle_gamma 90.00
_space_group_name_H-M_alt 'P 1'
_space_group_IT_number 1
loop_
_space_group_symop_operation_xyz
'x,y,z'
loop_
_atom_site_label
_atom_site_fract_x
_atom_site_fract_y
_atom_site_fract_z
_atom_site_occupancy
Ca1 0.000 0.000 0.000 1
Ca2 0.500 0.500 0.373 1
Te1 0.000 0.000 0.620 1
W1 0.500 0.500 0.756 1
```

=====

This record from Alexandria describes Pm2DyZr after structural relaxation. The functional is PBE.

Values from the calculation:
As for the crystal system: trigonal. As for the density of states at the Fermi level: 5.03 states/eV per cell. The value obtained for the formation energy is 0.3076 eV per atom.

Cell and atoms, written as CIF:
```
data_Pm2DyZr
_chemical_formula_sum 'Pm2 Dy1 Zr1'
_cell_length_a 12.273
_cell_length_b 12.273
_cell_length_c 12.273
_cell_angle_alpha 15.95
_cell_angle_beta 15.95
_cell_angle_gamma 15.95
_space_group_name_H-M_alt 'P 1'
_space_group_IT_number 1
loop_
_space_group_symop_operation_xyz
'x,y,z'
loop_
_atom_site_label
_atom_site_fract_x
_atom_site_fract_y
_atom_site_fract_z
_atom_site_occupancy
Pm1 0.086 0.086 0.086 1
Pm2 0.914 0.914 0.914 1
Dy1 0.500 0.500 0.500 1
Zr1 0.000 0.000 0.000 1
```